VASP calculation (PBE+U) on a geometry-optimized CrIr3O structure.

- energy relative to the lowest polymorph listed for this composition (meV/atom) = 0
- SG = Pm-3m, No. 221

a = 4.1494 Å, b = 4.1494 Å, c = 4.1494 Å
α = 90.00°, β = 90.00°, γ = 90.00°
Closest atoms and distances in Å follow each position.
Fractional coordinates of all 5 atoms:
Cr: 0.0000 0.0000 0.0000  12 Ir 2.93
Ir: 0.0000 0.5000 0.5000  2 O 2.07
Ir: 0.5000 0.0000 0.5000  2 O 2.07
Ir: 0.5000 0.5000 0.0000  2 O 2.07
O: 0.5000 0.5000 0.5000  6 Ir 2.07